## YZrOsRu (PBE)

Data for YZrOsRu after structural relaxation.

POSCAR file:
```
YZrOsRu
1.0
-1.037 2.514 -3.865
-4.468 0.267 -1.516
-2.389 4.058 0.391
Zr Y Os Ru
1 1 1 1
Cartesian
0.000 0.000 0.000
-3.947 3.420 -2.495
-1.973 1.710 -1.247
-5.920 5.130 -3.742
```

calculated formation energy	-1.5	eV/f.u.
N(E_F)	0.62	states/eV per atom
M_tot	0.00	μB/f.u.
theoretical density	10.5	g cm⁻³
E	-9.25	eV/atom
symmetry	F-43m